Material: RuPtBr2
Method: DFT, GGA-PBE
State: optimized geometry

## Properties
Calculated density in g cm⁻³: 10.59
Total magnetization in μB/f.u.: 0.249
Symmetry: Fm-3m
Electronic total energy in eV per atom: -3.69
Relative energy among the computed polymorphs in meV per atom: 825

Geometry as CIF:
```
data_RuPtBr2
_cell_length_a 4.6585
_cell_length_b 4.6585
_cell_length_c 4.6585
_cell_angle_alpha 60.00
_cell_angle_beta 60.00
_cell_angle_gamma 60.00
_symmetry_space_group_name_H-M 'P 1'
_symmetry_Int_Tables_number 1
loop_
_symmetry_equiv_pos_as_xyz
'x,y,z'
loop_
_atom_site_label
_atom_site_type_symbol
_atom_site_fract_x
_atom_site_fract_y
_atom_site_fract_z
_atom_site_occupancy
Ru1 Ru 0.0000 0.0000 0.0000 1
Br1 Br 0.7500 0.7500 0.7500 1
Pt1 Pt 0.5000 0.5000 0.5000 1
Br2 Br 0.2500 0.2500 0.2500 1
```

=====

Material: TlRu2Se
Method: DFT, GGA-PBE
State: optimized geometry

## Properties
Calculated density in g cm⁻³: 11.31
Total magnetization in μB/f.u.: 2.307
Symmetry: F-43m
Electronic total energy in eV per atom: -5.27
Relative energy among the computed polymorphs in meV per atom: 545

Geometry as CIF:
```
data_TlRu2Se
_cell_length_a 4.6536
_cell_length_b 4.6536
_cell_length_c 4.6536
_cell_angle_alpha 60.00
_cell_angle_beta 60.00
_cell_angle_gamma 60.00
_symmetry_space_group_name_H-M 'P 1'
_symmetry_Int_Tables_number 1
loop_
_symmetry_equiv_pos_as_xyz
'x,y,z'
loop_
_atom_site_label
_atom_site_type_symbol
_atom_site_fract_x
_atom_site_fract_y
_atom_site_fract_z
_atom_site_occupancy
Tl1 Tl 0.7500 0.7500 0.7500 1
Se1 Se 0.5000 0.5000 0.5000 1
Ru1 Ru 0.2500 0.2500 0.2500 1
Ru2 Ru 0.0000 0.0000 0.0000 1
```

=====

no.,formation energy without anion corrections (eV per formula unit)
1,3.92
2,3.32